w) Entry from Alexandria: crystalline Li2HoCd2 at its relaxed geometry (PBE).

Properties
SG: P4/mbm, No. 127

Structure (POSCAR):
```
Li2HoCd2
1.0
8.120 0.000 0.000
0.000 8.120 0.000
0.000 0.000 3.162
Li Ho Cd
4 2 4
Direct
0.117 0.383 0.000
0.383 0.883 0.000
0.617 0.117 0.000
0.883 0.617 0.000
0.000 0.000 0.000
0.500 0.500 0.000
0.182 0.682 0.500
0.318 0.182 0.500
0.682 0.818 0.500
0.818 0.318 0.500
```


x) Entry from Alexandria: crystalline Li2HoCd2 at its relaxed geometry (PBE).

Properties
SG: C2/m, No. 12

Structure (POSCAR):
```
Li2HoCd2
1.0
9.061 -1.735 0.000
9.061 1.735 0.000
-0.653 0.000 3.406
Li Ho Cd
2 1 2
Direct
0.204 0.204 0.202
0.796 0.796 0.798
0.000 0.000 0.000
0.381 0.381 0.383
0.619 0.619 0.617
```


Best to worst by energy: x), w).